No. 1
NaTiCl2 after structural relaxation. Source: the Alexandria database, functional PBE.

```
8
Lattice="-3.197 3.197 5.216 3.197 -3.197 5.216 3.197 3.197 -5.216" Properties=species:S:1:pos:R:3 pbc="T T T"
Na 0.000 0.000 0.000
Na 0.000 3.197 2.608
Ti 3.197 0.000 2.608
Ti 0.000 0.000 5.216
Cl 1.599 -1.434 3.912
Cl 1.764 1.599 1.304
Cl 1.599 4.631 -1.304
Cl 1.434 1.599 6.520
```

Properties
The uncorrected formation energy is -0.864 eV/atom. Its total energy is -32.73 eV for the cell shown. Its distance to the lowest polymorph of the same formula is 13.5 kJ/mol of atoms. As for the spin magnetization: 2.9 μB/f.u.

=====

No. 2
Sm5Sc2In5 after structural relaxation. Source: the Alexandria database, functional PBE.

```
12
Lattice="4.996 -2.645 0.000 4.996 2.645 0.000 -3.586 0.000 12.696" Properties=species:S:1:pos:R:3 pbc="T T T"
Sm 0.000 0.000 0.000
Sm 1.669 0.000 6.534
Sm 3.592 0.000 2.401
Sm 2.813 0.000 10.296
Sm 4.736 0.000 6.162
Sc -0.543 0.000 8.944
Sc 6.948 0.000 3.752
In -1.793 0.000 6.348
In 0.229 0.000 3.611
In -0.395 0.000 11.849
In 6.800 0.000 0.848
In 6.177 0.000 9.085
```

Properties
The value obtained for the energy of formation is -0.30 eV/atom. Its total energy is -53.59 eV for the cell shown. As for the spin magnetization: 0.0 μB/f.u.

=====

No. 3
PrTh2Fe after structural relaxation. Source: the Alexandria database, functional PBE.

```
4
Lattice="1.889 1.090 10.102 -1.889 1.090 10.102 0.000 -2.181 10.102" Properties=species:S:1:pos:R:3 pbc="T T T"
Pr 0.000 0.000 0.000
Th 0.000 0.000 3.504
Th 0.000 0.000 26.801
Fe 0.000 0.000 15.153
```

Properties
The value obtained for the energy of formation is 0.19 eV/atom. Its total energy is -27.32 eV for the cell shown. Its distance to the lowest polymorph of the same formula is 15.8 kJ/mol of atoms. As for the spin magnetization: 0.0 μB/f.u.

=====

No. 4
YPbS2 after structural relaxation. Source: the Alexandria database, functional PBE.

```
4
Lattice="1.967 1.136 8.687 -1.967 1.136 8.687 0.000 -2.272 8.687" Properties=species:S:1:pos:R:3 pbc="T T T"
Y 0.000 0.000 0.000
Pb 0.000 0.000 13.031
S 0.000 0.000 10.193
S 0.000 0.000 15.870
```

Properties
The uncorrected formation energy is -1.308 eV/atom. Its total energy is -23.66 eV for the cell shown. As for the spin magnetization: 0.0 μB/f.u.

=====

No. 5
RbZrBe2 after structural relaxation. Source: the Alexandria database, functional PBE.

```
4
Lattice="0.000 3.497 3.497 3.497 0.000 3.497 3.497 3.497 0.000" Properties=species:S:1:pos:R:3 pbc="T T T"
Rb 0.000 0.000 0.000
Zr 3.497 3.497 3.497
Be 1.748 1.748 1.748
Be 5.245 5.245 5.245
```

Properties
The value obtained for the energy of formation is 1.27 eV/atom. Its total energy is -11.90 eV for the cell shown. Its distance to the lowest polymorph of the same formula is 0.0 kJ/mol of atoms. As for the spin magnetization: 0.0 μB/f.u.

=====

No. 6
Mn2ReNi after structural relaxation. Source: the Alexandria database, functional PBE.

```
8
Lattice="-3.252 3.252 2.553 3.252 -3.252 2.553 3.252 3.252 -2.553" Properties=species:S:1:pos:R:3 pbc="T T T"
Mn 4.878 1.606 -0.638
Mn 1.606 1.626 0.638
Mn -1.626 1.646 1.915
Mn 1.646 1.626 3.191
Re 3.252 0.000 1.276
Re 0.000 0.000 2.553
Ni 0.000 0.000 0.000
Ni 0.000 3.252 1.276
```

Properties
The value obtained for the energy of formation is 0.62 eV/atom. Its total energy is -68.15 eV for the cell shown. As for the spin magnetization: 3.7 μB/f.u.

=====

No. 7
NdScCuOs after structural relaxation. Source: the Alexandria database, functional PBE.

```
4
Lattice="0.000 3.399 3.399 3.399 0.000 3.399 3.399 3.399 0.000" Properties=species:S:1:pos:R:3 pbc="T T T"
Nd 0.000 0.000 0.000
Sc 3.399 3.399 3.399
Cu 1.700 1.700 1.700
Os 5.099 5.099 5.099
```

Properties
The value obtained for the energy of formation is -0.15 eV/atom. Its total energy is -27.04 eV for the cell shown. As for the spin magnetization: 0.0 μB/f.u.

=====

No. 8
Pu2Pa2Ge after structural relaxation. Source: the Alexandria database, functional PBE.

```
10
Lattice="5.026 0.000 0.000 -2.513 4.352 0.000 0.000 0.000 11.468" Properties=species:S:1:pos:R:3 pbc="T T T"
Pu 0.000 2.902 1.018
Pu 0.000 2.902 4.716
Pu 2.513 1.451 6.753
Pu 2.513 1.451 10.450
Pa 0.000 0.000 0.000
Pa 0.000 0.000 5.734
Pa 0.000 2.902 8.601
Pa 2.513 1.451 2.867
Ge 0.000 0.000 2.867
Ge 0.000 0.000 8.601
```

Properties
The value obtained for the energy of formation is 0.08 eV/atom. Its total energy is -103.70 eV for the cell shown. Its distance to the lowest polymorph of the same formula is 0.0 kJ/mol of atoms. As for the spin magnetization: 14.3 μB/f.u.